Entry from Alexandria via LeMat-Bulk: crystalline ErCuW2O8 at its relaxed geometry (GGA+U).

Cell: 5.9919 5.0817 10.9890 Å, 65.08 90.00 90.00°
Element x y z (fractional)
W 0.1679 0.7617 0.4896
W 0.1679 0.2383 0.0104
W 0.8321 0.2383 0.5104
W 0.8321 0.7617 0.9896
O 0.3646 0.7818 0.6131
O 0.6354 0.2182 0.3869
O 0.1143 0.3378 0.5978
O 0.9091 0.1632 0.8898
O 0.6354 0.7818 0.1131
O 0.3593 0.7310 0.3639
O 0.8857 0.3378 0.0978
O 0.0909 0.8368 0.1102
O 0.9091 0.8368 0.6102
O 0.0909 0.1632 0.3898
O 0.3646 0.2182 0.8869
O 0.1143 0.6622 0.9022
O 0.6407 0.7310 0.8639
O 0.8857 0.6622 0.4022
O 0.3593 0.2690 0.1361
O 0.6407 0.2690 0.6361
Cu 0.2857 0.5000 0.2500
Cu 0.7143 0.5000 0.7500
Er 0.6625 0.0000 0.2500
Er 0.3375 0.0000 0.7500

Output
**Total energy**: -176.8 eV/cell